DFT (GGA-PBE) results for a geometry-optimized RbIn12Pt6 structure.

a = 12.6715 Å, b = 12.6715 Å, c = 9.5517 Å
α = 90.00°, β = 90.00°, γ = 120.00°
Space group R-3m (No. 166, hexagonal axes)
Inequivalent atoms, fractional coordinates:
Rb (0.0000, 0.0000, 0.0000) (multiplicity 3)
In (0.0000, 0.3788, 0.5000) (multiplicity 18)
In (0.0873, 0.1746, 0.3343) (multiplicity 18)
Pt (0.0485, 0.5242, 0.2616) (multiplicity 18)

Results
total magnetic moment	0.00	μB per formula unit
VASP energy	-4.079	eV/atom



DFT (GGA-PBE) results for a geometry-optimized Dy2WN4 structure.

a = 6.545 Å, b = 10.401 Å, c = 12.436 Å
α = 90.00°, β = 90.00°, γ = 90.00°
Space group Fddd (No. 70, origin choice 2)
Inequivalent atoms, fractional coordinates:
Dy (0.125, 0.318, 0.125) (multiplicity 16)
W (0.125, 0.125, 0.625) (multiplicity 8)
N (0.037, 0.257, 0.951) (multiplicity 32)

Results
total magnetic moment	0.00	μB per formula unit
raw formation energy	-1.223	eV per atom



Please write out number 2 again, unchanged.
DFT (GGA-PBE) results for a geometry-optimized Dy2WN4 structure.

a = 6.545 Å, b = 10.401 Å, c = 12.436 Å
α = 90.00°, β = 90.00°, γ = 90.00°
Space group Fddd (No. 70, origin choice 2)
Inequivalent atoms, fractional coordinates:
Dy (0.125, 0.318, 0.125) (multiplicity 16)
W (0.125, 0.125, 0.625) (multiplicity 8)
N (0.037, 0.257, 0.951) (multiplicity 32)

Results
total magnetic moment	0.00	μB per formula unit
raw formation energy	-1.223	eV per atom